GGA-PBEsol Ca4ZnAg3, relaxed; total DFT energy (no corrections) = -22.328 eV per cell
1.0
3.997 0.000 0.000
0.000 4.542 0.000
0.000 0.000 11.237
Ca Zn Ag
4 1 3
Cartesian
0.000 0.000 0.000
0.000 2.271 3.224
1.998 0.000 5.617
1.998 2.271 8.843
0.000 2.271 6.472
0.000 0.000 7.974
1.998 0.000 2.443
1.998 2.271 0.779